Below is an optimized crystal structure of Ta2Tc, with properties calculated at the GGA-PBEsol level.

a b c (Å): 7.003 7.003 4.495
angles (deg): 90.00 90.00 153.74
Fractional coordinates of all 6 atoms:
Ta: 0.080 0.920 0.750
Ta: 0.245 0.755 0.250
Ta: 0.755 0.245 0.750
Ta: 0.920 0.080 0.250
Tc: 0.418 0.582 0.750
Tc: 0.582 0.418 0.250

Calculated values
DOS(E_F): 0.42 states/eV/atom
Mass density: 15.7 g/cm3
Energy above the most stable polymorph in this dataset: 22 meV/atom
Energy: -12.474 eV/atom
Space-group type: Cmcm, No. 63